[1]
{
  "formula": "Pm6Si2AsBr3",
  "functional": "GGA-PBE",
  "state": "optimized geometry",
  "cell": [[9.483, -2.123, 0.000], [9.483, 2.123, 0.000], [-2.370, 0.000, 8.411]],
  "species": ["Pm", "Pm", "Pm", "Pm", "Pm", "Pm", "Si", "Si", "As", "Br", "Br", "Br"],
  "frac_coords": [[0.012, 0.012, 0.232], [0.325, 0.325, 0.438], [0.339, 0.339, 0.889], [0.661, 0.661, 0.111], [0.675, 0.675, 0.562], [0.988, 0.988, 0.768], [0.167, 0.167, 0.334], [0.833, 0.833, 0.666], [0.500, 0.500, 0.000], [0.166, 0.166, 0.833], [0.500, 0.500, 0.500], [0.834, 0.834, 0.167]]
}

[2]
{
  "formula": "Pm8Te4As3Br",
  "functional": "GGA-PBE",
  "state": "optimized geometry",
  "cell": [[4.323, 2.496, 7.249], [-4.323, 2.496, 7.249], [0.000, -4.991, 7.249]],
  "species": ["Pm", "Pm", "Pm", "Pm", "Pm", "Pm", "Pm", "Pm", "Te", "Te", "Te", "Te", "As", "As", "As", "Br"],
  "frac_coords": [[0.224, 0.749, 0.749], [0.239, 0.239, 0.239], [0.251, 0.251, 0.776], [0.251, 0.776, 0.251], [0.749, 0.224, 0.749], [0.749, 0.749, 0.224], [0.761, 0.761, 0.761], [0.776, 0.251, 0.251], [0.000, 0.000, 0.000], [0.000, 0.500, 0.500], [0.500, 0.000, 0.500], [0.500, 0.500, 0.000], [0.000, 0.000, 0.500], [0.000, 0.500, 0.000], [0.500, 0.000, 0.000], [0.500, 0.500, 0.500]]
}

[3]
{
  "formula": "Pr3AsBr7",
  "functional": "GGA-PBE",
  "state": "optimized geometry",
  "cell": [[8.912, 0.000, 0.000], [-4.456, 7.718, 0.000], [0.000, 0.000, 6.709]],
  "species": ["Pr", "Pr", "Pr", "As", "Br", "Br", "Br", "Br", "Br", "Br", "Br"],
  "frac_coords": [[0.007, 0.503, 0.000], [0.497, 0.503, 0.000], [0.497, 0.993, 0.000], [0.333, 0.667, 0.222], [0.180, 0.360, 0.753], [0.180, 0.820, 0.753], [0.352, 0.176, 0.223], [0.640, 0.820, 0.753], [0.667, 0.333, 0.750], [0.824, 0.176, 0.223], [0.824, 0.648, 0.223]]
}

no.,formation energy from raw total energies (eV per atom),VASP energy (eV/atom)
1,-1.1992,-5.28
2,-1.4750,-5.61
3,-1.5934,-4.38